(1)
Density functional theory data (PBE) for an optimized crystal structure of NbZnCu.

Computed properties:
- E_tot (eV for the cell shown) = -31.0
- density of states at the Fermi level (states/eV per atom) = 0.550
- total moment (μB/atom) = 0.000

a b c (Å): 2.7220 4.3784 7.5496
angles (deg): 90.00 94.32 90.00
Fractional positions:
Nb (0.1864, 0.2500, 0.1066)
Nb (0.8136, 0.7500, 0.8934)
Zn (0.3052, 0.2500, 0.7367)
Zn (0.6948, 0.7500, 0.2633)
Cu (0.2578, 0.7500, 0.5575)
Cu (0.7422, 0.2500, 0.4425)

(2)
Density functional theory data (PBE) for an optimized crystal structure of Nb2Zn3Cu.

Computed properties:
- E_tot (eV for the cell shown) = -57.4
- density of states at the Fermi level (states/eV per atom) = 1.279
- total moment (μB/atom) = 0.001

a b c (Å): 5.0857 5.0857 7.9701
angles (deg): 90.00 90.00 120.00
Fractional positions:
Nb (0.3333, 0.6667, 0.0685)
Nb (0.3333, 0.6667, 0.4315)
Nb (0.6667, 0.3333, 0.5685)
Nb (0.6667, 0.3333, 0.9315)
Zn (0.1705, 0.3410, 0.7500)
Zn (0.1705, 0.8295, 0.7500)
Zn (0.3410, 0.1705, 0.2500)
Zn (0.6590, 0.8295, 0.7500)
Zn (0.8295, 0.1705, 0.2500)
Zn (0.8295, 0.6590, 0.2500)
Cu (0.0000, 0.0000, 0.0000)
Cu (0.0000, 0.0000, 0.5000)

(3)
Density functional theory data (PBE) for an optimized crystal structure of NbZnCu.

Computed properties:
- E_tot (eV for the cell shown) = -15.6
- density of states at the Fermi level (states/eV per atom) = 0.670
- total moment (μB/atom) = 0.000

a b c (Å): 5.8872 5.8872 5.8872
angles (deg): 152.13 152.13 39.82
Fractional positions:
Nb (0.0000, 0.0000, 0.0000)
Zn (0.3196, 0.3196, 0.0000)
Cu (0.6746, 0.6746, 0.0000)

(4)
Density functional theory data (PBE) for an optimized crystal structure of NbZn11Cu.

Computed properties:
- E_tot (eV for the cell shown) = -28.4
- density of states at the Fermi level (states/eV per atom) = 0.216
- total moment (μB/atom) = 0.000

a b c (Å): 6.5887 6.5887 6.5950
angles (deg): 98.83 98.83 133.67
Fractional positions:
Nb (0.0000, 0.0000, 0.0000)
Zn (0.0000, 0.0000, 0.5000)
Zn (0.0000, 0.5000, 0.0000)
Zn (0.0124, 0.3558, 0.3506)
Zn (0.2953, 0.5027, 0.7897)
Zn (0.3558, 0.0124, 0.3506)
Zn (0.4973, 0.7047, 0.2103)
Zn (0.5000, 0.0000, 0.0000)
Zn (0.5027, 0.2953, 0.7897)
Zn (0.6442, 0.9876, 0.6494)
Zn (0.7047, 0.4973, 0.2103)
Zn (0.9876, 0.6442, 0.6494)
Cu (0.5000, 0.5000, 0.5000)

(5)
Density functional theory data (PBE) for an optimized crystal structure of NbZn5Cu4.

Computed properties:
- E_tot (eV for the cell shown) = -33.6
- density of states at the Fermi level (states/eV per atom) = 0.375
- total moment (μB/atom) = 0.000

a b c (Å): 2.9914 2.9914 15.2421
angles (deg): 90.00 90.00 90.00
Fractional positions:
Nb (0.0000, 0.0000, 0.0000)
Zn (0.5000, 0.5000, 0.1221)
Zn (0.5000, 0.5000, 0.3107)
Zn (0.5000, 0.5000, 0.5000)
Zn (0.5000, 0.5000, 0.6893)
Zn (0.5000, 0.5000, 0.8779)
Cu (0.0000, 0.0000, 0.2162)
Cu (0.0000, 0.0000, 0.4051)
Cu (0.0000, 0.0000, 0.5949)
Cu (0.0000, 0.0000, 0.7838)

(6)
Density functional theory data (PBE) for an optimized crystal structure of Zr2NbZnCu.

Computed properties:
- E_tot (eV for the cell shown) = -27.5
- density of states at the Fermi level (states/eV per atom) = 0.873
- total moment (μB/atom) = 0.000

a b c (Å): 5.0240 5.0240 4.8285
angles (deg): 90.00 90.00 90.00
Fractional positions:
Zr (0.0000, 0.5000, 0.0000)
Zr (0.5000, 0.0000, 0.0000)
Nb (0.0000, 0.0000, 0.0000)
Zn (0.5000, 0.5000, 0.5000)
Cu (0.0000, 0.0000, 0.5000)

(7)
Density functional theory data (PBE) for an optimized crystal structure of ZrNb2Cu.

Computed properties:
- E_tot (eV for the cell shown) = -31.7
- density of states at the Fermi level (states/eV per atom) = 1.465
- distance to the lowest polymorph of the same formula (eV per formula unit) = 0.00
- total moment (μB/atom) = 0.000

a b c (Å): 4.6469 4.6469 4.6469
angles (deg): 60.00 60.00 60.00
Fractional positions:
Zr (0.0000, 0.0000, 0.0000)
Nb (0.2500, 0.2500, 0.2500)
Nb (0.7500, 0.7500, 0.7500)
Cu (0.5000, 0.5000, 0.5000)

(8)
Density functional theory data (PBE) for an optimized crystal structure of ZrNb3Cu.

Computed properties:
- E_tot (eV for the cell shown) = -38.1
- density of states at the Fermi level (states/eV per atom) = 2.134
- distance to the lowest polymorph of the same formula (eV per formula unit) = 0.00
- total moment (μB/atom) = 0.000

a b c (Å): 4.7138 4.7138 4.7138
angles (deg): 90.00 90.00 90.00
Fractional positions:
Zr (0.0000, 0.0000, 0.0000)
Nb (0.0000, 0.5000, 0.5000)
Nb (0.5000, 0.0000, 0.5000)
Nb (0.5000, 0.5000, 0.0000)
Cu (0.5000, 0.5000, 0.5000)

(9)
Density functional theory data (PBE) for an optimized crystal structure of ZrNb2Cu.

Computed properties:
- E_tot (eV for the cell shown) = -62.2
- density of states at the Fermi level (states/eV per atom) = 1.055
- distance to the lowest polymorph of the same formula (eV per formula unit) = 0.61
- total moment (μB/atom) = 0.000

a b c (Å): 10.5016 10.5016 10.5016
angles (deg): 158.74 158.74 30.25
Fractional positions:
Zr (0.0000, 0.0000, 0.0000)
Zr (0.7500, 0.2500, 0.5000)
Nb (0.1252, 0.6250, 0.0002)
Nb (0.3750, 0.3752, 0.5002)
Nb (0.6248, 0.1250, 0.9998)
Nb (0.8750, 0.8748, 0.4998)
Cu (0.2500, 0.7500, 0.5000)
Cu (0.5000, 0.5000, 0.0000)

(10)
Density functional theory data (PBE) for an optimized crystal structure of Zr3NbCu.

Computed properties:
- E_tot (eV for the cell shown) = -34.3
- density of states at the Fermi level (states/eV per atom) = 2.187
- total moment (μB/atom) = 0.000

a b c (Å): 5.0775 5.0775 5.0775
angles (deg): 90.00 90.00 90.00
Fractional positions:
Zr (0.0000, 0.0000, 0.5000)
Zr (0.0000, 0.5000, 0.0000)
Zr (0.5000, 0.0000, 0.0000)
Nb (0.0000, 0.0000, 0.0000)
Cu (0.5000, 0.5000, 0.5000)

(11)
Density functional theory data (PBE) for an optimized crystal structure of ZrNb2Cu2.

Computed properties:
- E_tot (eV for the cell shown) = -71.8
- density of states at the Fermi level (states/eV per atom) = 0.898
- distance to the lowest polymorph of the same formula (eV per formula unit) = 0.27
- total moment (μB/atom) = 0.000

a b c (Å): 7.8716 7.8716 2.7556
angles (deg): 90.00 90.00 90.00
Fractional positions:
Zr (0.0000, 0.0000, 0.0000)
Zr (0.5000, 0.5000, 0.0000)
Nb (0.1209, 0.3791, 0.0000)
Nb (0.3791, 0.8791, 0.0000)
Nb (0.6209, 0.1209, 0.0000)
Nb (0.8791, 0.6209, 0.0000)
Cu (0.1758, 0.6758, 0.5000)
Cu (0.3242, 0.1758, 0.5000)
Cu (0.6758, 0.8242, 0.5000)
Cu (0.8242, 0.3242, 0.5000)

(12)
Density functional theory data (PBE) for an optimized crystal structure of ZrNbCu3.

Computed properties:
- E_tot (eV for the cell shown) = -25.4
- density of states at the Fermi level (states/eV per atom) = 1.052
- distance to the lowest polymorph of the same formula (eV per formula unit) = 0.00
- total moment (μB/atom) = 0.000

a b c (Å): 4.6216 4.6216 4.6216
angles (deg): 90.00 90.00 90.00
Fractional positions:
Zr (0.0000, 0.0000, 0.0000)
Nb (0.5000, 0.5000, 0.5000)
Cu (0.0000, 0.5000, 0.5000)
Cu (0.5000, 0.0000, 0.5000)
Cu (0.5000, 0.5000, 0.0000)

(13)
Density functional theory data (PBE) for an optimized crystal structure of ZrNb3Cu.

Computed properties:
- E_tot (eV for the cell shown) = -33.6
- density of states at the Fermi level (states/eV per atom) = 1.678
- distance to the lowest polymorph of the same formula (eV per formula unit) = 4.51
- total moment (μB/atom) = 0.000

a b c (Å): 4.8757 4.8757 4.8757
angles (deg): 90.00 90.00 90.00
Fractional positions:
Zr (0.0000, 0.0000, 0.0000)
Nb (0.0000, 0.0000, 0.5000)
Nb (0.0000, 0.5000, 0.0000)
Nb (0.5000, 0.0000, 0.0000)
Cu (0.5000, 0.5000, 0.5000)

(14)
Density functional theory data (PBE) for an optimized crystal structure of ZrNb2Cu2.

Computed properties:
- E_tot (eV for the cell shown) = -34.9
- density of states at the Fermi level (states/eV per atom) = 0.832
- distance to the lowest polymorph of the same formula (eV per formula unit) = 1.26
- total moment (μB/atom) = 0.000

a b c (Å): 6.9356 6.9356 6.9356
angles (deg): 148.63 148.63 44.96
Fractional positions:
Zr (0.0000, 0.0000, 0.0000)
Nb (0.3954, 0.3954, 0.0000)
Nb (0.6046, 0.6046, 0.0000)
Cu (0.2500, 0.7500, 0.5000)
Cu (0.7500, 0.2500, 0.5000)

(15)
Density functional theory data (PBE) for an optimized crystal structure of ZrNb2Cu2.

Computed properties:
- E_tot (eV for the cell shown) = -72.4
- density of states at the Fermi level (states/eV per atom) = 1.579
- distance to the lowest polymorph of the same formula (eV per formula unit) = 0.00
- total moment (μB/atom) = 0.000

a b c (Å): 7.4203 7.4203 3.0649
angles (deg): 90.00 90.00 90.00
Fractional positions:
Zr (0.0000, 0.0000, 0.0000)
Zr (0.5000, 0.5000, 0.0000)
Nb (0.1762, 0.3238, 0.5000)
Nb (0.3238, 0.8238, 0.5000)
Nb (0.6762, 0.1762, 0.5000)
Nb (0.8238, 0.6762, 0.5000)
Cu (0.1184, 0.6184, 0.0000)
Cu (0.3816, 0.1184, 0.0000)
Cu (0.6184, 0.8816, 0.0000)
Cu (0.8816, 0.3816, 0.0000)

(16)
Density functional theory data (PBE) for an optimized crystal structure of Zr3NbCu2.

Computed properties:
- E_tot (eV for the cell shown) = -44.2
- density of states at the Fermi level (states/eV per atom) = 1.327
- total moment (μB/atom) = 0.001

a b c (Å): 3.2937 3.2937 10.3480
angles (deg): 90.00 90.00 90.00
Fractional positions:
Zr (0.0000, 0.0000, 0.0000)
Zr (0.0000, 0.0000, 0.3244)
Zr (0.0000, 0.0000, 0.6756)
Nb (0.5000, 0.5000, 0.5000)
Cu (0.5000, 0.5000, 0.1651)
Cu (0.5000, 0.5000, 0.8349)

(17)
Density functional theory data (PBE) for an optimized crystal structure of Nd5Cu.

Computed properties:
- E_tot (eV for the cell shown) = -27.2
- density of states at the Fermi level (states/eV per atom) = 1.427
- total moment (μB/atom) = 0.000

a b c (Å): 8.0503 8.0503 5.0611
angles (deg): 90.00 90.00 145.49
Fractional positions:
Nd (0.0000, 0.0000, 0.0000)
Nd (0.1572, 0.8428, 0.5000)
Nd (0.3319, 0.6681, 0.0000)
Nd (0.6681, 0.3319, 0.0000)
Nd (0.8428, 0.1572, 0.5000)
Cu (0.5000, 0.5000, 0.5000)

(18)
Density functional theory data (PBE) for an optimized crystal structure of NdCu2.

Computed properties:
- E_tot (eV for the cell shown) = -27.2
- density of states at the Fermi level (states/eV per atom) = 0.434
- total moment (μB/atom) = 0.000

a b c (Å): 5.6305 5.6305 5.6305
angles (deg): 134.45 99.90 97.34
Fractional positions:
Nd (0.2768, 0.0268, 0.2500)
Nd (0.7232, 0.9732, 0.7500)
Cu (0.1331, 0.6667, 0.4664)
Cu (0.2998, 0.3333, 0.9664)
Cu (0.7002, 0.6667, 0.0336)
Cu (0.8669, 0.3333, 0.5336)

(19)
Density functional theory data (PBE) for an optimized crystal structure of Nd2Cu7.

Computed properties:
- E_tot (eV for the cell shown) = -79.0
- density of states at the Fermi level (states/eV per atom) = 0.811
- total moment (μB/atom) = 0.000

a b c (Å): 12.8850 12.8850 12.8850
angles (deg): 23.36 23.36 23.36
Fractional positions:
Nd (0.0507, 0.0507, 0.0507)
Nd (0.1483, 0.1483, 0.1483)
Nd (0.8517, 0.8517, 0.8517)
Nd (0.9493, 0.9493, 0.9493)
Cu (0.0000, 0.5000, 0.5000)
Cu (0.1095, 0.6078, 0.6078)
Cu (0.2786, 0.2786, 0.2786)
Cu (0.3873, 0.3873, 0.3873)
Cu (0.3922, 0.3922, 0.8905)
Cu (0.3922, 0.8905, 0.3922)
Cu (0.5000, 0.0000, 0.5000)
Cu (0.5000, 0.5000, 0.0000)
Cu (0.5000, 0.5000, 0.5000)
Cu (0.6078, 0.1095, 0.6078)
Cu (0.6078, 0.6078, 0.1095)
Cu (0.6127, 0.6127, 0.6127)
Cu (0.7214, 0.7214, 0.7214)
Cu (0.8905, 0.3922, 0.3922)

(20)
Density functional theory data (PBE) for an optimized crystal structure of Nd3Cu2.

Computed properties:
- E_tot (eV for the cell shown) = -23.0
- density of states at the Fermi level (states/eV per atom) = 1.033
- distance to the lowest polymorph of the same formula (eV per formula unit) = 0.04
- total moment (μB/atom) = 0.000

a b c (Å): 8.0300 8.0300 3.8288
angles (deg): 90.00 90.00 147.76
Fractional positions:
Nd (0.0000, 0.0000, 0.0000)
Nd (0.3535, 0.6464, 0.5000)
Nd (0.6464, 0.3535, 0.5000)
Cu (0.2047, 0.7953, 0.0000)
Cu (0.7953, 0.2047, 0.0000)

(21)
Density functional theory data (PBE) for an optimized crystal structure of Nd5Cu3.

Computed properties:
- E_tot (eV for the cell shown) = -36.9
- density of states at the Fermi level (states/eV per atom) = 0.998
- total moment (μB/atom) = 0.000

a b c (Å): 3.6009 3.6009 16.2305
angles (deg): 90.00 90.00 90.00
Fractional positions:
Nd (0.0000, 0.0000, 0.0000)
Nd (0.0000, 0.0000, 0.2193)
Nd (0.0000, 0.0000, 0.7807)
Nd (0.5000, 0.5000, 0.3908)
Nd (0.5000, 0.5000, 0.6092)
Cu (0.0000, 0.0000, 0.5000)
Cu (0.5000, 0.5000, 0.1101)
Cu (0.5000, 0.5000, 0.8899)

(22)
Density functional theory data (PBE) for an optimized crystal structure of NdCu6.

Computed properties:
- E_tot (eV for the cell shown) = -121.2
- density of states at the Fermi level (states/eV per atom) = 0.374
- distance to the lowest polymorph of the same formula (eV per formula unit) = 0.00
- total moment (μB/atom) = 0.000

a b c (Å): 8.0552 5.1439 10.1151
angles (deg): 90.00 90.00 90.00
Fractional positions:
Nd (0.2400, 0.2500, 0.0637)
Nd (0.2600, 0.7500, 0.5637)
Nd (0.7400, 0.2500, 0.4363)
Nd (0.7600, 0.7500, 0.9363)
Cu (0.0659, 0.0057, 0.3094)
Cu (0.0659, 0.4943, 0.3094)
Cu (0.0671, 0.7500, 0.0969)
Cu (0.1003, 0.2500, 0.5171)
Cu (0.1477, 0.7500, 0.8564)
Cu (0.1810, 0.2500, 0.7566)
Cu (0.3190, 0.7500, 0.2566)
Cu (0.3523, 0.2500, 0.3564)
Cu (0.3997, 0.7500, 0.0171)
Cu (0.4329, 0.2500, 0.5969)
Cu (0.4341, 0.5057, 0.8094)
Cu (0.4341, 0.9943, 0.8094)
Cu (0.5659, 0.0057, 0.1906)
Cu (0.5659, 0.4943, 0.1906)
Cu (0.5671, 0.7500, 0.4031)
Cu (0.6003, 0.2500, 0.9829)
Cu (0.6477, 0.7500, 0.6436)
Cu (0.6810, 0.2500, 0.7434)
Cu (0.8190, 0.7500, 0.2434)
Cu (0.8523, 0.2500, 0.1436)
Cu (0.8997, 0.7500, 0.4829)
Cu (0.9329, 0.2500, 0.9031)
Cu (0.9341, 0.5057, 0.6906)
Cu (0.9341, 0.9943, 0.6906)

(23)
Density functional theory data (PBE) for an optimized crystal structure of NdCu5.

Computed properties:
- E_tot (eV for the cell shown) = -26.2
- density of states at the Fermi level (states/eV per atom) = 0.712
- total moment (μB/atom) = 0.000

a b c (Å): 5.1079 5.1079 4.1322
angles (deg): 90.00 90.00 120.00
Fractional positions:
Nd (0.0000, 0.0000, 0.0000)
Cu (0.0000, 0.5000, 0.5000)
Cu (0.3333, 0.6667, 0.0000)
Cu (0.5000, 0.0000, 0.5000)
Cu (0.5000, 0.5000, 0.5000)
Cu (0.6667, 0.3333, 0.0000)

(24)
Density functional theory data (PBE) for an optimized crystal structure of Nd2Cu.

Computed properties:
- E_tot (eV for the cell shown) = -27.8
- density of states at the Fermi level (states/eV per atom) = 1.050
- total moment (μB/atom) = 0.000

a b c (Å): 6.6315 6.6315 8.3817
angles (deg): 124.14 124.14 33.80
Fractional positions:
Nd (0.0938, 0.0938, 0.3818)
Nd (0.3400, 0.3400, 0.9335)
Nd (0.6600, 0.6600, 0.0665)
Nd (0.9062, 0.9062, 0.6182)
Cu (0.3806, 0.3806, 0.3310)
Cu (0.6194, 0.6194, 0.6690)